16
Lattice="6.831 -5.186 0.000 6.831 5.186 0.000 -5.827 0.000 6.776" Properties=species:S:1:pos:R:3 comment="K2RbPS4 PBE optimized geometry" n_ef_per_ev_cell=9.6 raw_formation_energy_ev_per_fu=-4.3 spacegroup="C2/c (15)" pbc="T T T"
K 0.000 0.000 0.000
K -2.914 0.000 3.388
K 3.416 2.593 0.000
K 0.502 -2.593 3.388
Rb 0.502 2.593 3.388
Rb 3.416 -2.593 0.000
P 6.831 0.000 0.000
P 3.917 0.000 3.388
S 2.291 0.002 1.979
S -0.622 -0.002 5.367
S 6.768 2.150 0.071
S 3.981 2.150 3.317
S 3.854 -2.150 3.459
S 1.067 -2.150 6.705
S 8.457 0.002 1.409
S 5.543 -0.002 4.796